(1)
VASP calculation (PBE-GGA) on a relaxed structure of Zr2MoPdSe.

Computed properties:
The total magnetic moment comes out at 0.0 μB/cell. The calculation puts the raw formation energy at 351.0 meV/atom. The total energy is -34.85 eV per formula unit.

a b c (Å): 4.972 4.527 4.972
angles (deg): 90.00 90.00 90.00
Atoms (fractional coordinates):
Mo 0.000 0.500 0.000
Se 0.000 0.000 0.000
Zr 0.000 0.000 0.500
Zr 0.500 0.000 0.000
Pd 0.500 0.500 0.500

=====

(2)
VASP calculation (PBE-GGA) on a relaxed structure of PmNd2Y6Sc3.

Computed properties:
The total magnetic moment comes out at 0.0 μB/cell. The total energy is -71.44 eV per formula unit. The value obtained for the formation energy from the elements is 0.052 eV per atom.

a b c (Å): 6.126 6.126 11.588
angles (deg): 95.05 95.05 120.00
Atoms (fractional coordinates):
Pm 0.000 0.000 0.000
Nd 0.333 0.667 0.000
Nd 0.667 0.333 0.000
Y 0.913 0.579 0.738
Y 0.754 0.754 0.262
Y 0.087 0.421 0.262
Y 0.579 0.913 0.738
Y 0.246 0.246 0.738
Y 0.421 0.087 0.262
Sc 0.167 0.833 0.500
Sc 0.833 0.167 0.500
Sc 0.500 0.500 0.500

=====

(3)
VASP calculation (PBE-GGA) on a relaxed structure of LiYHgPt.

Computed properties:
The total magnetic moment comes out at 0.0 μB/cell. The total energy is -17.28 eV per formula unit. The value obtained for the formation energy from the elements is -0.639 eV per atom.

a b c (Å): 4.858 4.858 4.858
angles (deg): 60.00 60.00 60.00
Atoms (fractional coordinates):
Y 0.750 0.750 0.750
Hg 0.000 0.000 0.000
Pt 0.500 0.500 0.500
Li 0.250 0.250 0.250

=====

(4)
VASP calculation (PBE-GGA) on a relaxed structure of CoTeIr2N.

Computed properties:
The total magnetic moment comes out at 1.5 μB/cell. The calculation puts the raw formation energy at 640.8 meV/atom. The total energy is -33.09 eV per formula unit.

a b c (Å): 4.317 3.812 4.317
angles (deg): 90.00 90.00 90.00
Atoms (fractional coordinates):
Co 0.000 0.500 0.000
Ir 0.000 0.000 0.500
Ir 0.500 0.000 0.000
Te 0.500 0.500 0.500
N 0.000 0.000 0.000